Arrangement a

# PBE Ba2LiCuH, relaxed
data_Ba2LiCuH
_chemical_formula_sum 'Ba2 Li1 Cu1 H1'
_cell_length_a 5.675
_cell_length_b 5.675
_cell_length_c 4.148
_cell_angle_alpha 90.00
_cell_angle_beta 90.00
_cell_angle_gamma 90.00
_space_group_name_H-M_alt 'P 4/m m m'
_space_group_IT_number 123
_space_group_name_Hall '-P 4 2'
loop_
_atom_site_label
_atom_site_fract_x
_atom_site_fract_y
_atom_site_fract_z
Ba1 0.000 0.500 0.000
Li1 0.000 0.000 0.500
Cu1 0.500 0.500 0.500
H1 0.000 0.000 0.000
# Total moment, μB per cell: 0.00


Arrangement b

# PBE Ba2LiCuH, relaxed
data_Ba2LiCuH
_chemical_formula_sum 'Ba2 Li1 Cu1 H1'
_cell_length_a 5.829
_cell_length_b 5.829
_cell_length_c 4.001
_cell_angle_alpha 90.00
_cell_angle_beta 90.00
_cell_angle_gamma 90.00
_space_group_name_H-M_alt 'P 4/m m m'
_space_group_IT_number 123
_space_group_name_Hall '-P 4 2'
loop_
_atom_site_label
_atom_site_fract_x
_atom_site_fract_y
_atom_site_fract_z
Ba1 0.000 0.500 0.000
Li1 0.000 0.000 0.500
Cu1 0.500 0.500 0.500
H1 0.500 0.500 0.000
# Total moment, μB per cell: 0.00


The energetic minimum among the shown structures is arrangement a; the next structure lies 8.2 kJ/mol of atoms above.